(1)
# Cs3BeIn | the Alexandria database | GGA-PBEsol | relaxed
data_Cs3BeIn
_chemical_formula_sum 'Cs3 Be1 In1'
_space_group_name_H-M_alt 'P m -3 m'
_space_group_IT_number 221
_space_group_name_Hall '-P 4 2 3'
_cell_length_a 6.7049
_cell_length_b 6.7049
_cell_length_c 6.7049
_cell_angle_alpha 90.00
_cell_angle_beta 90.00
_cell_angle_gamma 90.00
loop_
_atom_site_label
_atom_site_type_symbol
_atom_site_fract_x
_atom_site_fract_y
_atom_site_fract_z
Cs1 Cs 0.0000 0.0000 0.5000
Be1 Be 0.0000 0.0000 0.0000
In1 In 0.5000 0.5000 0.5000
# total magnetization = 0.24 μB/f.u.
# electronic total energy = -6.27 eV per cell
# formation energy = 0.71 eV/atom

(2)
# BeCu2 | the Alexandria database | GGA-PBEsol | relaxed
data_BeCu2
_chemical_formula_sum 'Be4 Cu8'
_space_group_name_H-M_alt 'C 1 2/m 1'
_space_group_IT_number 12
_cell_length_a 8.3168
_cell_length_b 2.5644
_cell_length_c 6.1666
_cell_angle_alpha 90.00
_cell_angle_beta 112.85
_cell_angle_gamma 90.00
loop_
_space_group_symop_operation_xyz
'x,y,z'
'-x,-y,-z'
'-x,y,-z'
'x,-y,z'
'x+1/2,y+1/2,z'
'-x+1/2,-y+1/2,-z'
'-x+1/2,y+1/2,-z'
'x+1/2,-y+1/2,z'
loop_
_atom_site_label
_atom_site_type_symbol
_atom_site_fract_x
_atom_site_fract_y
_atom_site_fract_z
Be1 Be 0.1814 0.0000 0.0894
Cu1 Cu 0.0013 0.5000 0.2118
Cu2 Cu 0.1637 0.0000 0.5909
# total magnetization = 0.00 μB/f.u.
# electronic total energy = -51.23 eV per cell
# formation energy = -0.05 eV/atom

(3)
# InTc2Te | the Alexandria database | GGA-PBEsol | relaxed
data_InTc2Te
_chemical_formula_sum 'In2 Tc4 Te2'
_space_group_name_H-M_alt 'I m m 2'
_space_group_IT_number 44
_cell_length_a 3.1417
_cell_length_b 4.2750
_cell_length_c 10.7369
_cell_angle_alpha 90.00
_cell_angle_beta 90.00
_cell_angle_gamma 90.00
loop_
_space_group_symop_operation_xyz
'x,y,z'
'-x,-y,z'
'-x,y,z'
'x,-y,z'
'x+1/2,y+1/2,z+1/2'
'-x+1/2,-y+1/2,z+1/2'
'-x+1/2,y+1/2,z+1/2'
'x+1/2,-y+1/2,z+1/2'
loop_
_atom_site_label
_atom_site_type_symbol
_atom_site_fract_x
_atom_site_fract_y
_atom_site_fract_z
In1 In 0.0000 0.0000 0.0000
Tc1 Tc 0.0000 0.0000 0.5402
Tc2 Tc 0.0000 0.5000 0.8190
Te1 Te 0.0000 0.5000 0.2415
# ΔE_f (raw) = 0.397 eV/atom
# total magnetization = 0.00 μB/f.u.
# polymorph energy (0 for the lowest one) = 0 meV/atom
# electronic total energy = -54.91 eV per cell

(4)
# Ca3LaCl | the Alexandria database | GGA-PBEsol | relaxed
data_Ca3LaCl
_chemical_formula_sum 'Ca3 La1 Cl1'
_space_group_name_H-M_alt 'P m -3 m'
_space_group_IT_number 221
_space_group_name_Hall '-P 4 2 3'
_cell_length_a 6.3325
_cell_length_b 6.3325
_cell_length_c 6.3325
_cell_angle_alpha 90.00
_cell_angle_beta 90.00
_cell_angle_gamma 90.00
loop_
_atom_site_label
_atom_site_type_symbol
_atom_site_fract_x
_atom_site_fract_y
_atom_site_fract_z
Ca1 Ca 0.0000 0.0000 0.5000
La1 La 0.0000 0.0000 0.0000
Cl1 Cl 0.5000 0.5000 0.5000
# ΔE_f (raw) = 0.663 eV/atom
# total magnetization = 4.01 μB/f.u.
# electronic total energy = -10.44 eV per cell

(5)
# BaYTe2I | the Alexandria database | GGA-PBEsol | relaxed
data_BaYTe2I
_chemical_formula_sum 'Ba1 Y1 Te2 I1'
_space_group_name_H-M_alt 'P 4/m m m'
_space_group_IT_number 123
_space_group_name_Hall '-P 4 2'
_cell_length_a 6.2759
_cell_length_b 6.2759
_cell_length_c 6.0903
_cell_angle_alpha 90.00
_cell_angle_beta 90.00
_cell_angle_gamma 90.00
loop_
_atom_site_label
_atom_site_type_symbol
_atom_site_fract_x
_atom_site_fract_y
_atom_site_fract_z
Ba1 Ba 0.0000 0.0000 0.0000
Y1 Y 0.5000 0.5000 0.5000
Te1 Te 0.0000 0.5000 0.0000
I1 I 0.0000 0.0000 0.5000
# ΔE_f (raw) = -0.078 eV/atom
# total magnetization = 0.16 μB/f.u.
# polymorph energy (0 for the lowest one) = 1249 meV/atom
# electronic total energy = -18.18 eV per cell

(6)
# Zr2AlCoC | the Alexandria database | GGA-PBEsol | relaxed
data_Zr2AlCoC
_chemical_formula_sum 'Zr2 Al1 Co1 C1'
_space_group_name_H-M_alt 'P 4/m m m'
_space_group_IT_number 123
_space_group_name_Hall '-P 4 2'
_cell_length_a 4.5054
_cell_length_b 4.5054
_cell_length_c 3.7407
_cell_angle_alpha 90.00
_cell_angle_beta 90.00
_cell_angle_gamma 90.00
loop_
_atom_site_label
_atom_site_type_symbol
_atom_site_fract_x
_atom_site_fract_y
_atom_site_fract_z
Zr1 Zr 0.0000 0.5000 0.0000
Al1 Al 0.0000 0.0000 0.5000
Co1 Co 0.5000 0.5000 0.5000
C1 C 0.5000 0.5000 0.0000
# total magnetization = 0.71 μB/f.u.
# electronic total energy = -41.68 eV per cell
# formation energy = -0.41 eV/atom

(7)
# BeOsRh | the Alexandria database | GGA-PBEsol | relaxed
data_BeOsRh
_chemical_formula_sum 'Be1 Os1 Rh1'
_space_group_name_H-M_alt 'P -6 m 2'
_space_group_IT_number 187
_space_group_name_Hall 'P -6 2'
_cell_length_a 3.9938
_cell_length_b 3.9938
_cell_length_c 2.6302
_cell_angle_alpha 90.00
_cell_angle_beta 90.00
_cell_angle_gamma 120.00
loop_
_atom_site_label
_atom_site_type_symbol
_atom_site_fract_x
_atom_site_fract_y
_atom_site_fract_z
Be1 Be 0.0000 0.0000 0.0000
Os1 Os 0.3333 0.6667 0.5000
Rh1 Rh 0.6667 0.3333 0.0000
# total magnetization = 0.00 μB/f.u.
# polymorph energy (0 for the lowest one) = 0 meV/atom
# electronic total energy = -24.25 eV per cell
# formation energy = 0.04 eV/atom

(8)
# CrSnP2O8 | the Alexandria database | GGA-PBEsol | relaxed
data_CrSnP2O8
_chemical_formula_sum 'Cr2 Sn2 P4 O16'
_space_group_name_H-M_alt 'P 1 21/m 1'
_space_group_IT_number 11
_cell_length_a 4.8853
_cell_length_b 5.9726
_cell_length_c 9.9209
_cell_angle_alpha 90.00
_cell_angle_beta 91.30
_cell_angle_gamma 90.00
loop_
_space_group_symop_operation_xyz
'x,y,z'
'-x,-y,-z'
'-x,y+1/2,-z'
'x,-y+1/2,z'
loop_
_atom_site_label
_atom_site_type_symbol
_atom_site_fract_x
_atom_site_fract_y
_atom_site_fract_z
Cr1 Cr 0.0767 0.2500 0.2216
Sn1 Sn 0.4352 0.2500 0.7232
P1 P 0.1089 0.7500 0.0850
P2 P 0.3645 0.7500 0.5952
O1 O 0.1684 0.7500 0.9354
O2 O 0.2007 0.2500 0.8950
O3 O 0.2154 0.5481 0.6662
O4 O 0.2551 0.5479 0.1620
O5 O 0.3012 0.7500 0.4434
O6 O 0.3285 0.2500 0.3769
# ΔE_f (raw) = -1.924 eV/atom
# total magnetization = 3.53 μB/f.u.
# electronic total energy = -182.33 eV per cell

(9)
# SrH2Rh | the Alexandria database | GGA-PBEsol | relaxed
data_SrH2Rh
_chemical_formula_sum 'Sr4 H8 Rh4'
_space_group_name_H-M_alt 'I -4 2 d'
_space_group_IT_number 122
_space_group_name_Hall 'I -4 2bw'
_cell_length_a 4.4375
_cell_length_b 4.4375
_cell_length_c 10.7741
_cell_angle_alpha 90.00
_cell_angle_beta 90.00
_cell_angle_gamma 90.00
loop_
_atom_site_label
_atom_site_type_symbol
_atom_site_fract_x
_atom_site_fract_y
_atom_site_fract_z
Sr1 Sr 0.0000 0.0000 0.0000
H1 H 0.0355 0.2500 0.6250
Rh1 Rh 0.0000 0.0000 0.5000
# total magnetization = 0.00 μB/f.u.
# electronic total energy = -71.64 eV per cell

(10)
# Cs2YTlI6 | the Alexandria database | GGA-PBEsol | relaxed
data_Cs2YTlI6
_chemical_formula_sum 'Cs8 Y4 Tl4 I24'
_space_group_name_H-M_alt 'F m -3 m'
_space_group_IT_number 225
_space_group_name_Hall '-F 4 2 3'
_cell_length_a 12.4775
_cell_length_b 12.4775
_cell_length_c 12.4775
_cell_angle_alpha 90.00
_cell_angle_beta 90.00
_cell_angle_gamma 90.00
loop_
_atom_site_label
_atom_site_type_symbol
_atom_site_fract_x
_atom_site_fract_y
_atom_site_fract_z
Cs1 Cs 0.2500 0.2500 0.2500
Y1 Y 0.0000 0.0000 0.0000
Tl1 Tl 0.0000 0.0000 0.5000
I1 I 0.0000 0.0000 0.2385
# ΔE_f (raw) = -1.282 eV/atom
# total magnetization = 0.00 μB/f.u.
# electronic total energy = -139.04 eV per cell

(11)
# K3Cu2F7 | the Alexandria database | GGA-PBEsol | relaxed
data_K3Cu2F7
_chemical_formula_sum 'K6 Cu4 F14'
_space_group_name_H-M_alt 'I 4/m m m'
_space_group_IT_number 139
_space_group_name_Hall '-I 4 2'
_cell_length_a 4.0009
_cell_length_b 4.0009
_cell_length_c 20.7953
_cell_angle_alpha 90.00
_cell_angle_beta 90.00
_cell_angle_gamma 90.00
loop_
_atom_site_label
_atom_site_type_symbol
_atom_site_fract_x
_atom_site_fract_y
_atom_site_fract_z
K1 K 0.0000 0.0000 0.0000
K2 K 0.0000 0.0000 0.1839
Cu1 Cu 0.0000 0.0000 0.4045
F1 F 0.0000 0.0000 0.3085
F2 F 0.0000 0.0000 0.5000
F3 F 0.0000 0.5000 0.0939
# ΔE_f (raw) = -2.215 eV/atom
# total magnetization = 0.00 μB/f.u.
# electronic total energy = -104.28 eV per cell

(12)
# BaSiTc | the Alexandria database | GGA-PBEsol | relaxed
data_BaSiTc
_chemical_formula_sum 'Ba4 Si4 Tc4'
_space_group_name_H-M_alt 'F -4 3 m'
_space_group_IT_number 216
_space_group_name_Hall 'F -4 2 3'
_cell_length_a 6.6160
_cell_length_b 6.6160
_cell_length_c 6.6160
_cell_angle_alpha 90.00
_cell_angle_beta 90.00
_cell_angle_gamma 90.00
loop_
_atom_site_label
_atom_site_type_symbol
_atom_site_fract_x
_atom_site_fract_y
_atom_site_fract_z
Ba1 Ba 0.0000 0.0000 0.0000
Si1 Si 0.2500 0.2500 0.7500
Tc1 Tc 0.0000 0.0000 0.5000
# ΔE_f (raw) = 0.966 eV/atom
# total magnetization = 0.43 μB/f.u.
# electronic total energy = -65.05 eV per cell

Short version: density = 2.879, 7.459, 10.097, 1.926, 4.211, 6.131, 13.809, 4.139, 6.028, 4.515, 3.765, 6.042 Mg/m³, in the order given.
Short version: V = 301.4, 121.2, 144.2, 253.9, 239.9, 75.9, 36.3, 289.4, 212.2, 1942.6, 332.9, 289.6 Å³ per cell, in the order given.